# 1
# BaSiAs2

A geometry-optimized BaSiAs2 structure (PBE, the Alexandria database).

Properties
raw formation energy = -0.6399 eV/atom
crystal system = monoclinic
magnetization = 0.000 Bohr magnetons per cell
E = -4.80 eV/atom

a b c (Å): 7.730 7.730 15.300
angles (deg): 97.22 97.22 90.01
Fractional positions:
1 Ba 0.150 0.787 0.602
2 Ba 0.213 0.850 0.898
3 Ba 0.231 0.346 0.887
4 Ba 0.346 0.231 0.387
5 Ba 0.654 0.769 0.613
6 Ba 0.769 0.654 0.113
7 Ba 0.787 0.150 0.102
8 Ba 0.850 0.213 0.398
9 Si 0.085 0.708 0.334
10 Si 0.292 0.418 0.168
11 Si 0.292 0.915 0.166
12 Si 0.418 0.292 0.668
13 Si 0.582 0.708 0.332
14 Si 0.708 0.085 0.834
15 Si 0.708 0.582 0.832
16 Si 0.915 0.292 0.666
17 As 0.050 0.428 0.250
18 As 0.054 0.946 0.250
19 As 0.145 0.260 0.572
20 As 0.260 0.145 0.072
21 As 0.278 0.640 0.071
22 As 0.360 0.722 0.429
23 As 0.424 0.576 0.750
24 As 0.428 0.050 0.750
25 As 0.572 0.950 0.250
26 As 0.576 0.424 0.250
27 As 0.640 0.278 0.571
28 As 0.722 0.360 0.929
29 As 0.740 0.855 0.928
30 As 0.855 0.740 0.428
31 As 0.946 0.054 0.750
32 As 0.950 0.572 0.750


# 2
# Ba2SiAs

A geometry-optimized Ba2SiAs structure (PBE, the Alexandria database).

Properties
raw formation energy = -0.4172 eV/atom
crystal system = tetragonal
magnetization = 0.000 Bohr magnetons per cell
N(E_F) = 2.5 states/eV/cell
E = -3.90 eV/atom

a b c (Å): 5.349 5.349 4.474
angles (deg): 90.00 90.00 90.00
Fractional positions:
1 Ba 0.000 0.500 0.000
2 Ba 0.500 0.000 0.000
3 Si 0.000 0.000 0.500
4 As 0.500 0.500 0.500


The highest raw formation energy belongs to which entry?
Ba2SiAs